Record 1
# Ba2NdGe3Pt4 | Alexandria via LeMat-Bulk | PBE-GGA | relaxed
# Formation energy from the elements = -18.25 kcal/mol of atoms
# D(E_F) = 0.594 states/eV/atom
data_Ba2NdGe3Pt4
_cell_length_a 4.554
_cell_length_b 4.554
_cell_length_c 11.172
_cell_angle_alpha 90.00
_cell_angle_beta 90.00
_cell_angle_gamma 90.00
_symmetry_space_group_name_H-M 'P -4 m 2'
_symmetry_Int_Tables_number 115
loop_
_symmetry_equiv_pos_as_xyz
'x,y,z'
'y,-x,-z'
'-x,-y,z'
'-y,x,-z'
'-x,y,z'
'-y,-x,-z'
'x,-y,z'
'y,x,-z'
loop_
_atom_site_label
_atom_site_fract_x
_atom_site_fract_y
_atom_site_fract_z
Ba1 0.000 0.500 0.231
Nd1 0.000 0.000 0.500
Ge1 0.000 0.500 0.889
Ge2 0.500 0.500 0.500
Pt1 0.000 0.000 0.000
Pt2 0.000 0.500 0.659
Pt3 0.500 0.500 0.000


Record 2
# SmZn2Sn2 | Alexandria via LeMat-Bulk | PBE-GGA | relaxed
# Formation energy from the elements = -8.72 kcal/mol of atoms
# D(E_F) = 0.386 states/eV/atom
data_SmZn2Sn2
_cell_length_a 4.414
_cell_length_b 22.774
_cell_length_c 4.425
_cell_angle_alpha 90.00
_cell_angle_beta 90.00
_cell_angle_gamma 90.00
_symmetry_space_group_name_H-M 'C m c m'
_symmetry_Int_Tables_number 63
_symmetry_space_group_name_Hall '-C 2c 2'
loop_
_atom_site_label
_atom_site_fract_x
_atom_site_fract_y
_atom_site_fract_z
Sm1 0.000 0.139 0.250
Zn1 0.000 0.031 0.750
Zn2 0.000 0.464 0.750
Sn1 0.000 0.251 0.750
Sn2 0.000 0.384 0.250


Record 3
# TbCePuSn | Alexandria via LeMat-Bulk | PBE-GGA | relaxed
# Formation energy from the elements = -4.24 kcal/mol of atoms
# D(E_F) = 2.145 states/eV/atom
data_TbCePuSn
_cell_length_a 7.526
_cell_length_b 7.526
_cell_length_c 7.526
_cell_angle_alpha 90.00
_cell_angle_beta 90.00
_cell_angle_gamma 90.00
_symmetry_space_group_name_H-M 'F -4 3 m'
_symmetry_Int_Tables_number 216
_symmetry_space_group_name_Hall 'F -4 2 3'
loop_
_atom_site_label
_atom_site_fract_x
_atom_site_fract_y
_atom_site_fract_z
Tb1 0.000 0.000 0.000
Ce1 0.250 0.250 0.250
Pu1 0.000 0.000 0.500
Sn1 0.250 0.250 0.750


Record 4
# RbMg14Bi | Alexandria via LeMat-Bulk | PBE-GGA | relaxed
# Offset from the most stable computed form = 37 kJ/mol of formula units
# Formation energy from the elements = 2.60 kcal/mol of atoms
# D(E_F) = 0.628 states/eV/atom
data_RbMg14Bi
_cell_length_a 6.6776
_cell_length_b 6.6776
_cell_length_c 10.6675
_cell_angle_alpha 90.00
_cell_angle_beta 90.00
_cell_angle_gamma 120.00
_symmetry_space_group_name_H-M 'P -6 m 2'
_symmetry_Int_Tables_number 187
_symmetry_space_group_name_Hall 'P -6 2'
loop_
_atom_site_label
_atom_site_fract_x
_atom_site_fract_y
_atom_site_fract_z
Rb1 0.0000 0.0000 0.0000
Mg1 0.0088 0.5044 0.0000
Mg2 0.1752 0.3504 0.2630
Mg3 0.5057 0.0113 0.5000
Mg4 0.6667 0.3333 0.2441
Bi1 0.0000 0.0000 0.5000


Record 5
# Pm8PIr5 | Alexandria via LeMat-Bulk | PBE-GGA | relaxed
# Formation energy from the elements = -16.48 kcal/mol of atoms
# D(E_F) = 0.458 states/eV/atom
data_Pm8PIr5
_cell_length_a 8.858
_cell_length_b 8.858
_cell_length_c 8.807
_cell_angle_alpha 90.00
_cell_angle_beta 90.00
_cell_angle_gamma 90.00
_symmetry_space_group_name_H-M 'I -4'
_symmetry_Int_Tables_number 82
loop_
_symmetry_equiv_pos_as_xyz
'x,y,z'
'y,-x,-z'
'-x,-y,z'
'-y,x,-z'
'x+1/2,y+1/2,z+1/2'
'y+1/2,-x+1/2,-z+1/2'
'-x+1/2,-y+1/2,z+1/2'
'-y+1/2,x+1/2,-z+1/2'
loop_
_atom_site_label
_atom_site_fract_x
_atom_site_fract_y
_atom_site_fract_z
Pm1 0.061 0.186 0.313
Pm2 0.061 0.311 0.936
P1 0.000 0.500 0.250
Ir1 0.000 0.000 0.000
Ir2 0.119 0.248 0.624


Record 6
# LiTl2Ag | Alexandria via LeMat-Bulk | PBE-GGA | relaxed
# Offset from the most stable computed form = 30 kJ/mol of formula units
# Formation energy from the elements = 0.39 kcal/mol of atoms
# D(E_F) = 0.750 states/eV/atom
data_LiTl2Ag
_cell_length_a 3.4422
_cell_length_b 3.4422
_cell_length_c 27.1069
_cell_angle_alpha 90.00
_cell_angle_beta 90.00
_cell_angle_gamma 120.00
_symmetry_space_group_name_H-M 'R -3 m'
_symmetry_Int_Tables_number 166
_symmetry_space_group_name_Hall '-R 3 2"'
loop_
_atom_site_label
_atom_site_fract_x
_atom_site_fract_y
_atom_site_fract_z
Li1 0.0000 0.0000 0.0000
Tl1 0.0000 0.0000 0.2514
Ag1 0.0000 0.0000 0.5000


Question: Which of these has the lowest formation energy from the elements?
Answer: Ba2NdGe3Pt4


Question: D(E_F) of number 4 (RbMg14Bi)?
Answer: 0.628 states/eV/atom


Question: formation energy from the elements of number 5 (Pm8PIr5)?
Answer: -16.48 kcal/mol of atoms


Please write out number 4 again, unchanged.
# RbMg14Bi | Alexandria via LeMat-Bulk | PBE-GGA | relaxed
# Offset from the most stable computed form = 37 kJ/mol of formula units
# Formation energy from the elements = 2.60 kcal/mol of atoms
# D(E_F) = 0.628 states/eV/atom
data_RbMg14Bi
_cell_length_a 6.6776
_cell_length_b 6.6776
_cell_length_c 10.6675
_cell_angle_alpha 90.00
_cell_angle_beta 90.00
_cell_angle_gamma 120.00
_symmetry_space_group_name_H-M 'P -6 m 2'
_symmetry_Int_Tables_number 187
_symmetry_space_group_name_Hall 'P -6 2'
loop_
_atom_site_label
_atom_site_fract_x
_atom_site_fract_y
_atom_site_fract_z
Rb1 0.0000 0.0000 0.0000
Mg1 0.0088 0.5044 0.0000
Mg2 0.1752 0.3504 0.2630
Mg3 0.5057 0.0113 0.5000
Mg4 0.6667 0.3333 0.2441
Bi1 0.0000 0.0000 0.5000